Crystalline CoGePd2 at its relaxed geometry, computed with PBE-GGA.

Properties
**Total magnetic moment**: 1.29 Bohr magnetons per cell
**Electronic total energy**: -5.618 eV per atom

a b c (Å): 4.294 4.294 4.294
angles (deg): 60.00 60.00 60.00
Fractional coordinates of all 4 atoms:
Pd1 0.750 0.750 0.750
Co1 0.250 0.250 0.250
Ge1 0.500 0.500 0.500
Pd2 0.000 0.000 0.000

Crystalline ZnCo2B at its relaxed geometry, computed with PBE-GGA.

Properties
**Total magnetic moment**: 0.02 Bohr magnetons per cell
**Electronic total energy**: -5.072 eV per atom

a b c (Å): 3.865 3.865 3.865
angles (deg): 60.00 60.00 60.00
Fractional coordinates of all 4 atoms:
Co1 0.750 0.750 0.750
B1 0.000 0.000 0.000
Co2 0.500 0.500 0.500
Zn1 0.250 0.250 0.250

Crystalline BaNdAgO3 at its relaxed geometry, computed with PBE-GGA.

Properties
**Total magnetic moment**: 0.00 Bohr magnetons per cell
**Electronic total energy**: -6.252 eV per atom

a b c (Å): 6.813 6.813 8.992
angles (deg): 90.00 90.00 32.53
Fractional coordinates of all 12 atoms:
O1 0.385 0.385 0.479
Ag1 0.395 0.395 0.250
O2 0.615 0.615 0.521
Nd1 0.000 0.000 0.000
O3 0.385 0.385 0.021
Ba1 0.690 0.690 0.250
Nd2 0.000 0.000 0.500
Ag2 0.605 0.605 0.750
O4 0.939 0.939 0.750
O5 0.061 0.061 0.250
O6 0.615 0.615 0.979
Ba2 0.310 0.310 0.750

Crystalline TmPdNO at its relaxed geometry, computed with PBE-GGA.

Properties
**Total magnetic moment**: 0.00 Bohr magnetons per cell
**Electronic total energy**: -6.921 eV per atom

a b c (Å): 4.747 4.747 4.430
angles (deg): 90.00 90.00 90.00
Fractional coordinates of all 8 atoms:
O1 0.000 0.000 0.000
Pd1 0.000 0.500 0.999
O2 0.500 0.500 0.000
Tm1 0.000 0.000 0.500
Tm2 0.500 0.500 0.500
N1 0.500 0.000 0.502
Pd2 0.500 0.000 0.001
N2 0.000 0.500 0.498

Crystalline BaCd2Pb2 at its relaxed geometry, computed with PBE-GGA.

Properties
**Electronic total energy**: -2.516 eV per atom

a b c (Å): 7.442 7.442 7.442
angles (deg): 141.11 141.11 56.18
Fractional coordinates of all 5 atoms:
Pb1 0.618 0.618 0.000
Ba1 0.000 0.000 0.000
Pb2 0.382 0.382 0.000
Cd1 0.750 0.250 0.500
Cd2 0.250 0.750 0.500

Crystalline TbGdNO at its relaxed geometry, computed with PBE-GGA.

Properties
**Total magnetic moment**: 0.01 Bohr magnetons per cell
**Electronic total energy**: -7.705 eV per atom

a b c (Å): 3.858 5.688 6.667
angles (deg): 90.00 90.00 90.00
Fractional coordinates of all 8 atoms:
Tb1 0.500 0.985 0.163
Tb2 0.500 0.485 0.837
N1 0.000 0.898 0.338
O1 0.500 0.882 0.823
Gd1 0.000 0.989 0.670
N2 0.000 0.398 0.662
O2 0.500 0.382 0.177
Gd2 0.000 0.489 0.330

Number 1: calculated density 10.214 Mg/m³. Number 2: calculated density 7.895 Mg/m³. Number 3: calculated density 6.472 Mg/m³. Number 4: calculated density 10.158 Mg/m³. Number 5: calculated density 7.999 Mg/m³. Number 6: calculated density 7.859 Mg/m³.